Record 1
A plane-wave DFT calculation with GGA-PBE was carried out for Li2OsSe after structural relaxation.

Mass density: 7.88 Mg/m³
Calculated volume: 14.9 A^3/atom
Electronic total energy: -4.66 eV per atom
Formation energy from raw total energies: -2 kJ/mol of atoms

Cell lengths 2.7030, 2.7030, 8.5490 Å; angles 90.00, 90.00, 107.33 degrees
Positions (direct):
Li1 0.0000 0.0000 0.0015
Li2 0.0000 0.0000 0.4985
Os1 0.5000 0.5000 0.2500
Se1 0.5000 0.5000 0.7500

---

Record 2
A plane-wave DFT calculation with GGA-PBE was carried out for LiOsSe2 after structural relaxation.

Mass density: 9.32 Mg/m³
Calculated volume: 15.8 A^3/atom
Electronic total energy: -4.92 eV per atom
Formation energy from raw total energies: 10 kJ/mol of atoms

Cell lengths 7.1312, 4.4646, 3.0556 Å; angles 90.04, 64.56, 128.81 degrees
Positions (direct):
Li1 0.0000 0.5000 0.5000
Os1 0.5000 0.5000 0.0000
Se1 0.0000 0.0000 0.0000
Se2 0.5000 0.0000 0.5000

---

Record 3
A plane-wave DFT calculation with GGA-PBE was carried out for LiOsSe2 after structural relaxation.

Mass density: 9.05 Mg/m³
Calculated volume: 16.3 A^3/atom
Electronic total energy: -4.30 eV per atom
Formation energy from raw total energies: 71 kJ/mol of atoms

Cell lengths 4.5164, 4.5164, 4.5164 Å; angles 60.00, 60.00, 60.00 degrees
Positions (direct):
Li1 0.5000 0.5000 0.5000
Os1 0.7500 0.7500 0.7500
Se1 0.0000 0.0000 0.0000
Se2 0.2500 0.2500 0.2500

---

Record 4
A plane-wave DFT calculation with GGA-PBE was carried out for Li3OsSe after structural relaxation.

Mass density: 4.62 Mg/m³
Calculated volume: 20.9 A^3/atom
Electronic total energy: -3.59 eV per atom
Distance to the lowest polymorph of the same formula: 0.000 eV/atom
Formation energy from raw total energies: 48 kJ/mol of atoms

Cell lengths 4.7077, 4.7077, 4.7077 Å; angles 90.00, 90.00, 90.00 degrees
Site moments in Bohr magnetons follow the coordinates.
Positions (direct):
Os1 0.5000 0.5000 0.5000  2.67
Se1 0.0000 0.0000 0.0000  0.08
Li1 0.0000 0.5000 0.0000  0.00
Li2 0.0000 0.0000 0.5000  0.00
Li3 0.5000 0.0000 0.0000  0.00

---

Record 5
A plane-wave DFT calculation with GGA-PBE was carried out for LiOsSe2 after structural relaxation.

Mass density: 8.31 Mg/m³
Calculated volume: 17.7 A^3/atom
Electronic total energy: -5.10 eV per atom
Formation energy from raw total energies: -7 kJ/mol of atoms

Cell lengths 6.6518, 6.6518, 6.6518 Å; angles 152.92, 147.95, 42.44 degrees
Positions (direct):
Li1 0.4597 0.4597 0.0000
Os1 0.2063 0.7063 0.5000
Se1 0.0475 0.0475 0.0000
Se2 0.7865 0.2865 0.5000

---

Record 6
A plane-wave DFT calculation with GGA-PBE was carried out for Li2OsSe after structural relaxation.

Mass density: 7.53 Mg/m³
Calculated volume: 15.6 A^3/atom
Electronic total energy: -4.62 eV per atom
Formation energy from raw total energies: 1 kJ/mol of atoms

Cell lengths 4.4559, 2.8287, 5.1416 Å; angles 74.35, 90.00, 90.00 degrees
Positions (direct):
Li1 0.0000 0.9434 0.9926
Li2 0.5000 0.2992 0.2727
Os1 0.0000 0.6762 0.5202
Se1 0.5000 0.5812 0.7145

---

Record 7
A plane-wave DFT calculation with GGA-PBE was carried out for Li2OsSe after structural relaxation.

Mass density: 7.72 Mg/m³
Calculated volume: 15.2 A^3/atom
Electronic total energy: -4.62 eV per atom
Formation energy from raw total energies: 1 kJ/mol of atoms

Cell lengths 2.6811, 2.6811, 8.4753 Å; angles 90.00, 90.00, 90.00 degrees
Site moments in Bohr magnetons follow the coordinates.
Positions (direct):
Li1 0.0000 0.0000 0.0075  0.00
Li2 0.0000 0.0000 0.4925  0.00
Os1 0.5000 0.5000 0.2500  0.32
Se1 0.5000 0.5000 0.7500  0.00

---

Record 8
A plane-wave DFT calculation with GGA-PBE was carried out for LiOsSe2 after structural relaxation.

Mass density: 8.50 Mg/m³
Calculated volume: 17.3 A^3/atom
Electronic total energy: -5.06 eV per atom
Formation energy from raw total energies: -3 kJ/mol of atoms

Cell lengths 5.0654, 3.1117, 4.6652 Å; angles 70.54, 90.00, 90.00 degrees
Positions (direct):
Li1 0.0000 0.5630 0.4978
Os1 0.5000 0.9068 0.8116
Se1 0.0000 0.8416 0.9409
Se2 0.5000 0.1886 0.2496

---

Record 9
A plane-wave DFT calculation with GGA-PBE was carried out for LiOsSe2 after structural relaxation.

Mass density: 6.35 Mg/m³
Calculated volume: 23.2 A^3/atom
Electronic total energy: -5.17 eV per atom
Formation energy from raw total energies: -14 kJ/mol of atoms

Cell lengths 7.6456, 7.6456, 7.6456 Å; angles 29.00, 29.00, 29.00 degrees
Site moments in Bohr magnetons follow the coordinates.
Positions (direct):
Os1 0.5000 0.5000 0.5000  0.72
Se1 0.8898 0.8898 0.8898  0.05
Se2 0.1102 0.1102 0.1102  0.05
Li1 0.0000 0.0000 0.0000  0.01

---

Record 10
A plane-wave DFT calculation with GGA-PBE was carried out for LiOsSe2 after structural relaxation.

Mass density: 8.37 Mg/m³
Calculated volume: 17.6 A^3/atom
Electronic total energy: -4.80 eV per atom
Formation energy from raw total energies: 22 kJ/mol of atoms

Cell lengths 3.2196, 3.2196, 7.9999 Å; angles 90.00, 90.00, 121.82 degrees
Positions (direct):
Li1 0.5000 0.5000 0.2500
Os1 0.5000 0.5000 0.7500
Se1 0.0000 0.0000 0.9947
Se2 0.0000 0.0000 0.5053

---

Record 11
A plane-wave DFT calculation with GGA-PBE was carried out for Li2OsSe after structural relaxation.

Mass density: 7.08 Mg/m³
Calculated volume: 16.6 A^3/atom
Electronic total energy: -4.29 eV per atom
Formation energy from raw total energies: 33 kJ/mol of atoms

Cell lengths 2.8962, 2.8962, 9.0049 Å; angles 90.00, 90.00, 118.42 degrees
Positions (direct):
Li1 0.0000 0.0000 0.9816
Li2 0.5000 0.5000 0.2672
Os1 0.0000 0.0000 0.5142
Se1 0.5000 0.5000 0.7370

---

Record 12
A plane-wave DFT calculation with GGA-PBE was carried out for LiOsSe4 after structural relaxation.

Mass density: 6.70 Mg/m³
Calculated volume: 21.2 A^3/atom
Electronic total energy: -3.46 eV per atom
Formation energy from raw total energies: 101 kJ/mol of atoms

Cell lengths 5.6449, 5.6449, 5.6449 Å; angles 60.00, 60.00, 60.00 degrees
Site moments in Bohr magnetons follow the coordinates.
Positions (direct):
Li1 0.7500 0.7500 0.7500  0.00
Os1 0.0000 0.0000 0.0000  2.61
Se1 0.8774 0.3742 0.3742  0.10
Se2 0.3742 0.3742 0.8774  0.10
Se3 0.3742 0.8774 0.3742  0.10
Se4 0.3742 0.3742 0.3742  0.10